{"formula": "Cs3BaSn2Br9", "functional": "PBE", "state": "optimized geometry", "total_magnetization_mub_per_fu": 0.00, "dos_at_fermi_per_ev_atom": 0.0000, "e_tot_ev_per_fu": -49.5, "density_g_cm3": 3.7, "e_form_raw_ev_per_fu": -22.004, "cell": [[8.4419, 0.0000, 0.0000], [-4.2209, 7.3109, 0.0000], [0.0000, 0.0000, 10.8699]], "species": ["Cs", "Cs", "Cs", "Ba", "Sn", "Sn", "Br", "Br", "Br", "Br", "Br", "Br", "Br", "Br", "Br"], "frac_coords": [[0.0000, 0.0000, 0.0000], [0.3333, 0.6667, 0.7264], [0.6667, 0.3333, 0.2736], [0.0000, 0.0000, 0.5000], [0.3333, 0.6667, 0.1622], [0.6667, 0.3333, 0.8378], [0.0000, 0.5000, 0.0000], [0.1678, 0.3355, 0.3132], [0.1678, 0.8322, 0.3132], [0.3355, 0.1678, 0.6868], [0.5000, 0.0000, 0.0000], [0.5000, 0.5000, 0.0000], [0.6645, 0.8322, 0.3132], [0.8322, 0.1678, 0.6868], [0.8322, 0.6645, 0.6868]]}

***

{"formula": "Cs2BaSnBr6", "functional": "PBE", "state": "optimized geometry", "total_magnetization_mub_per_fu": 0.00, "polymorph_energy_mev_per_atom": 31, "dos_at_fermi_per_ev_atom": 0.0000, "e_tot_ev_per_fu": -33.5, "density_g_cm3": 3.6, "e_form_raw_ev_per_fu": -15.871, "cell": [[0.0000, 6.1292, 6.1292], [6.1292, 0.0000, 6.1292], [6.1292, 6.1292, 0.0000]], "species": ["Cs", "Cs", "Ba", "Sn", "Br", "Br", "Br", "Br", "Br", "Br"], "frac_coords": [[0.2500, 0.2500, 0.2500], [0.7500, 0.7500, 0.7500], [0.0000, 0.0000, 0.0000], [0.5000, 0.5000, 0.5000], [0.2581, 0.2581, 0.7419], [0.2581, 0.7419, 0.2581], [0.2581, 0.7419, 0.7419], [0.7419, 0.2581, 0.2581], [0.7419, 0.2581, 0.7419], [0.7419, 0.7419, 0.2581]]}